No. 1
Material: SrCaDyNbO6
Method: DFT, PBE
State: optimized geometry

Values from the calculation:
* M_tot: 0.00 μB per atom
* energy: -7.735 eV/atom
* formation energy without anion corrections: -2925 meV/atom

abc: 8.4061 8.4061 8.4061
angles: 90.00 90.00 90.00
Last column: nearest neighbours and their distance in Å.
Space group F-43m (No. 216)
Inequivalent atoms, fractional coordinates:
Sr (0.0000, 0.0000, 0.0000) x4  12 O 2.97
Ca (0.0000, 0.0000, 0.5000) x4  12 O 2.97
Dy (0.2500, 0.2500, 0.7500) x4  6 O 2.20
Nb (0.2500, 0.2500, 0.2500) x4  6 O 2.00
O (0.0119, 0.2500, 0.2500) x24  1 Nb 2.00, 1 Dy 2.20


No. 2
Material: Cs2BeIrI6
Method: DFT, PBE
State: optimized geometry

Values from the calculation:
* M_tot: 0.10 μB per atom
* energy: -2.925 eV/atom
* formation energy without anion corrections: -565 meV/atom

abc: 8.7518 8.7518 11.6472
angles: 90.00 90.00 90.00
Last column: nearest neighbours and their distance in Å.
Space group I4/mmm (No. 139)
Inequivalent atoms, fractional coordinates:
Cs (0.0000, 0.5000, 0.2500) x4  12 I 4.27-4.43
Be (0.0000, 0.0000, 0.0000) x2  2 I 2.22
Ir (0.0000, 0.0000, 0.5000) x2  4 I 2.64
I (0.0000, 0.0000, 0.1903) x4  1 Be 2.22
I (0.2134, 0.2134, 0.5000) x8  1 Ir 2.64